Entry 1:
Here is an optimized crystal structure of Zr2VTe2 from Alexandria via LeMat-Bulk. Energies are from GGA-PBE.

**Final energy**: -65.85 eV for the cell shown
**Size of the total moment**: 3.8 μB per formula unit
**ΔE_f (raw)**: -85 meV per atom
**N(E_F)**: 10.983 states/eV per cell

a b c (Å): 7.927 7.927 3.725
angles (deg): 90.00 90.00 90.00
Element x y z (fractional)
Zr  0.146  0.354  0.000
Zr  0.354  0.854  0.000
Zr  0.646  0.146  0.000
Zr  0.854  0.646  0.000
V  0.000  0.000  0.000
V  0.500  0.500  0.000
Te  0.152  0.652  0.500
Te  0.348  0.152  0.500
Te  0.652  0.848  0.500
Te  0.848  0.348  0.500

Entry 2:
Here is an optimized crystal structure of Zr3VTe from Alexandria via LeMat-Bulk. Energies are from GGA-PBE.

**Final energy**: -33.39 eV for the cell shown
**Size of the total moment**: 3.1 μB per formula unit
**ΔE_f (raw)**: 904 meV per atom
**N(E_F)**: 6.719 states/eV per cell

a b c (Å): 5.245 5.245 5.245
angles (deg): 90.00 90.00 90.00
Element x y z (fractional)
Zr  0.000  0.000  0.500
Zr  0.000  0.500  0.000
Zr  0.500  0.000  0.000
V  0.500  0.500  0.500
Te  0.000  0.000  0.000

Entry 3:
Here is an optimized crystal structure of Zr2VTe2 from Alexandria via LeMat-Bulk. Energies are from GGA-PBE.

**Final energy**: -30.32 eV for the cell shown
**Size of the total moment**: 2.4 μB per formula unit
**ΔE_f (raw)**: 435 meV per atom
**N(E_F)**: 5.244 states/eV per cell

a b c (Å): 7.891 7.891 7.891
angles (deg): 149.26 149.26 44.03
Element x y z (fractional)
Zr  0.102  0.102  0.000
Zr  0.898  0.898  0.000
V  0.500  0.500  0.000
Te  0.250  0.750  0.500
Te  0.750  0.250  0.500

Entry 4:
Here is an optimized crystal structure of ZrVTe2 from Alexandria via LeMat-Bulk. Energies are from GGA-PBE.

**Final energy**: -24.94 eV for the cell shown
**Size of the total moment**: 1.5 μB per formula unit
**ΔE_f (raw)**: -247 meV per atom
**N(E_F)**: 5.606 states/eV per cell

a b c (Å): 4.942 4.942 4.942
angles (deg): 60.00 60.00 60.00
Element x y z (fractional)
Zr  0.000  0.000  0.000
V  0.500  0.500  0.500
Te  0.250  0.250  0.250
Te  0.750  0.750  0.750

Entry 5:
Here is an optimized crystal structure of ZrVTe2 from Alexandria via LeMat-Bulk. Energies are from GGA-PBE.

**Final energy**: -47.91 eV for the cell shown
**Size of the total moment**: 4.8 μB per formula unit
**ΔE_f (raw)**: -2 meV per atom
**N(E_F)**: 8.749 states/eV per cell

a b c (Å): 7.722 7.722 7.722
angles (deg): 129.82 129.82 73.69
Element x y z (fractional)
Zr  0.000  0.000  0.000
Zr  0.750  0.250  0.500
V  0.250  0.750  0.500
V  0.500  0.500  0.000
Te  0.143  0.625  0.018
Te  0.375  0.393  0.518
Te  0.607  0.125  0.982
Te  0.875  0.857  0.482

Entry 6:
Here is an optimized crystal structure of ZrVTe2 from Alexandria via LeMat-Bulk. Energies are from GGA-PBE.

**Final energy**: -24.15 eV for the cell shown
**Size of the total moment**: 4.1 μB per formula unit
**ΔE_f (raw)**: -50 meV per atom
**N(E_F)**: 3.434 states/eV per cell

a b c (Å): 9.517 9.517 9.517
angles (deg): 22.89 22.89 22.89
Element x y z (fractional)
Zr  0.000  0.000  0.000
V  0.500  0.500  0.500
Te  0.402  0.402  0.402
Te  0.598  0.598  0.598

Entry 7:
Here is an optimized crystal structure of ZrVTe6 from Alexandria via LeMat-Bulk. Energies are from GGA-PBE.

**Final energy**: -38.69 eV for the cell shown
**Size of the total moment**: 1.3 μB per formula unit
**ΔE_f (raw)**: -272 meV per atom
**N(E_F)**: 5.513 states/eV per cell

a b c (Å): 6.468 6.811 6.981
angles (deg): 72.87 64.46 63.61
Element x y z (fractional)
Zr  0.000  0.000  0.000
V  0.500  0.500  0.500
Te  0.042  0.743  0.725
Te  0.310  0.589  0.185
Te  0.403  0.125  0.673
Te  0.597  0.875  0.327
Te  0.690  0.411  0.815
Te  0.958  0.257  0.275

Entry 8:
Here is an optimized crystal structure of ZrVTe4 from Alexandria via LeMat-Bulk. Energies are from GGA-PBE.

**Final energy**: -33.61 eV for the cell shown
**Size of the total moment**: 1.4 μB per formula unit
**ΔE_f (raw)**: -562 meV per atom
**N(E_F)**: 3.924 states/eV per cell

a b c (Å): 7.981 7.981 6.603
angles (deg): 114.36 114.36 27.67
Element x y z (fractional)
Zr  0.000  0.000  0.000
V  0.500  0.500  0.500
Te  0.123  0.123  0.774
Te  0.371  0.371  0.693
Te  0.629  0.629  0.307
Te  0.877  0.877  0.226

Entry 9:
Here is an optimized crystal structure of ZrVTe2 from Alexandria via LeMat-Bulk. Energies are from GGA-PBE.

**Final energy**: -104.05 eV for the cell shown
**Size of the total moment**: 0.0 μB per formula unit
**ΔE_f (raw)**: -515 meV per atom
**N(E_F)**: 8.660 states/eV per cell

a b c (Å): 8.850 6.660 8.422
angles (deg): 90.00 118.36 90.00
Element x y z (fractional)
Zr  0.000  0.000  0.219
Zr  0.000  0.000  0.781
Zr  0.000  0.500  0.281
Zr  0.000  0.500  0.719
V  0.139  0.161  0.569
V  0.139  0.339  0.069
V  0.861  0.661  0.931
V  0.861  0.839  0.431
Te  0.202  0.733  0.101
Te  0.202  0.767  0.601
Te  0.322  0.250  0.411
Te  0.322  0.250  0.911
Te  0.678  0.750  0.089
Te  0.678  0.750  0.589
Te  0.798  0.233  0.399
Te  0.798  0.267  0.899

Entry 10:
Here is an optimized crystal structure of Zr3VTe from Alexandria via LeMat-Bulk. Energies are from GGA-PBE.

**Final energy**: -35.86 eV for the cell shown
**Size of the total moment**: 0.0 μB per formula unit
**ΔE_f (raw)**: 408 meV per atom
**N(E_F)**: 10.224 states/eV per cell

a b c (Å): 4.926 4.926 4.926
angles (deg): 90.00 90.00 90.00
Element x y z (fractional)
Zr  0.000  0.000  0.500
Zr  0.000  0.500  0.000
Zr  0.500  0.000  0.000
V  0.000  0.000  0.000
Te  0.500  0.500  0.500

Entry 11:
Here is an optimized crystal structure of ZrV2Te6 from Alexandria via LeMat-Bulk. Energies are from GGA-PBE.

**Final energy**: -49.91 eV for the cell shown
**Size of the total moment**: 2.6 μB per formula unit
**ΔE_f (raw)**: -474 meV per atom
**N(E_F)**: 5.475 states/eV per cell

a b c (Å): 7.776 7.776 9.514
angles (deg): 109.10 109.10 27.80
Element x y z (fractional)
Zr  0.000  0.000  0.000
V  0.348  0.348  0.688
V  0.652  0.652  0.312
Te  0.022  0.022  0.315
Te  0.295  0.295  0.379
Te  0.349  0.349  0.972
Te  0.651  0.651  0.028
Te  0.705  0.705  0.621
Te  0.978  0.978  0.685

Entry 12:
Here is an optimized crystal structure of Zr3VTe8 from Alexandria via LeMat-Bulk. Energies are from GGA-PBE.

**Final energy**: -68.39 eV for the cell shown
**Size of the total moment**: 1.6 μB per formula unit
**ΔE_f (raw)**: -708 meV per atom
**N(E_F)**: 6.046 states/eV per cell

a b c (Å): 7.772 7.776 8.605
angles (deg): 64.87 63.22 60.11
Element x y z (fractional)
Zr  0.000  0.000  0.000
Zr  0.000  0.500  0.000
Zr  0.500  0.000  0.000
V  0.500  0.500  0.000
Te  0.255  0.240  0.750
Te  0.256  0.269  0.240
Te  0.256  0.749  0.240
Te  0.265  0.731  0.760
Te  0.735  0.269  0.240
Te  0.744  0.251  0.760
Te  0.744  0.731  0.760
Te  0.745  0.760  0.250